Computed, not measured: a geometry-optimized CsZnAgCl4 structure at the PBE level of DFT.

Computed properties:
DFT total energy   -2.98 eV per atom
Magnetic moment   0.00 μB per formula unit
Uncorrected formation energy   -1.21 eV/atom
D(E_F)   0.00 states/eV/f.u.
Symmetry   P2_1/m

a = 6.4933 Å, b = 7.4348 Å, c = 9.3682 Å
α = 90.00°, β = 107.35°, γ = 90.00°
Last column: nearest neighbours and their distance in Å.
Atoms (fractional coordinates):
1 Cl 0.0338 0.4890 0.7042  1 Zn 2.33
2 Cl 0.5266 0.2500 0.4692  1 Zn 2.25
3 Cl 0.6928 0.2500 0.8992  1 Zn 2.27
4 Cl 0.9662 0.5110 0.2958  1 Zn 2.33
5 Cl 0.0338 0.0110 0.7042  1 Zn 2.33
6 Cl 0.4734 0.7500 0.5308  1 Zn 2.25
7 Cl 0.9662 0.9890 0.2958  1 Zn 2.33
8 Cl 0.3072 0.7500 0.1008  1 Zn 2.27
9 Cs 0.2814 0.2500 0.0808  9 Cl 3.51-3.85
10 Cs 0.7186 0.7500 0.9192  9 Cl 3.51-3.85
11 Zn 0.2054 0.7500 0.3129  4 Cl 2.25-2.33
12 Zn 0.7946 0.2500 0.6871  4 Cl 2.25-2.33
13 Ag 0.8486 0.7500 0.4870  5 Cl 2.59-2.81
14 Ag 0.1514 0.2500 0.5130  5 Cl 2.59-2.81



Computed, not measured: a geometry-optimized CsZrAg2Cl8 structure at the PBE level of DFT.

Computed properties:
DFT total energy   -3.72 eV per atom
Magnetic moment   0.00 μB per formula unit
Uncorrected formation energy   -1.23 eV/atom
D(E_F)   2.35 states/eV/f.u.
Symmetry   P-1

a = 6.8409 Å, b = 6.6979 Å, c = 9.6111 Å
α = 62.34°, β = 83.38°, γ = 85.84°
Last column: nearest neighbours and their distance in Å.
Atoms (fractional coordinates):
1 Zr 0.0000 0.0000 0.0000  6 Cl 2.44-2.53
2 Cl 0.1056 0.6968 0.2608  1 Zr 2.53, 1 Ag 2.79
3 Cl 0.4824 0.2166 0.5131  2 Ag 2.47-2.55
4 Cl 0.8944 0.3032 0.7392  1 Zr 2.53, 1 Ag 2.79
5 Cl 0.6916 0.7888 0.0361  1 Ag 2.49, 1 Zr 2.53
6 Cl 0.5176 0.7834 0.4869  2 Ag 2.47-2.55
7 Cl 0.8261 0.2029 0.1338  1 Zr 2.44
8 Cl 0.3084 0.2112 0.9639  1 Ag 2.49, 1 Zr 2.53
9 Cl 0.1739 0.7971 0.8662  1 Zr 2.44
10 Ag 0.4940 0.3902 0.6981  3 Cl 2.47-2.55
11 Ag 0.5060 0.6098 0.3019  3 Cl 2.47-2.55
12 Cs 0.0000 0.0000 0.5000  8 Cl 3.46-3.74